No. 1
# UNiTe2 | Alexandria via LeMat-Bulk | PBE-GGA | relaxed
# - energy relative to the elements, uncorrected (eV/f.u.) = -0.83
data_UNiTe2
_space_group_name_H-M_alt 'C 1 m 1'
_space_group_IT_number 8
_cell_length_a 6.282
_cell_length_b 10.071
_cell_length_c 4.031
_cell_angle_alpha 90.00
_cell_angle_beta 129.67
_cell_angle_gamma 90.00
loop_
_space_group_symop_operation_xyz
'x,y,z'
'x,-y,z'
'x+1/2,y+1/2,z'
'x+1/2,-y+1/2,z'
loop_
_atom_site_label
_atom_site_fract_x
_atom_site_fract_y
_atom_site_fract_z
U1 0.000 0.000 0.000
Ni1 0.499 0.000 0.729
Te1 0.001 0.328 0.180



No. 2
# UNiTe2 | Alexandria via LeMat-Bulk | PBE-GGA | relaxed
# - energy relative to the elements, uncorrected (eV/f.u.) = 0.83
data_UNiTe2
_space_group_name_H-M_alt 'R -3 m'
_space_group_IT_number 166
_space_group_name_Hall '-R 3 2"'
_cell_length_a 3.4731
_cell_length_b 3.4731
_cell_length_c 28.3574
_cell_angle_alpha 90.00
_cell_angle_beta 90.00
_cell_angle_gamma 120.00
loop_
_atom_site_label
_atom_site_fract_x
_atom_site_fract_y
_atom_site_fract_z
U1 0.0000 0.0000 0.0000
Ni1 0.0000 0.0000 0.5000
Te1 0.0000 0.0000 0.1098



No. 3
# V3NiTe | Alexandria via LeMat-Bulk | PBE-GGA | relaxed
# - energy relative to the elements, uncorrected (eV/f.u.) = 8.15
data_V3NiTe
_space_group_name_H-M_alt 'P m -3 m'
_space_group_IT_number 221
_space_group_name_Hall '-P 4 2 3'
_cell_length_a 4.804
_cell_length_b 4.804
_cell_length_c 4.804
_cell_angle_alpha 90.00
_cell_angle_beta 90.00
_cell_angle_gamma 90.00
loop_
_atom_site_label
_atom_site_fract_x
_atom_site_fract_y
_atom_site_fract_z
V1 0.000 0.000 0.500
Ni1 0.500 0.500 0.500
Te1 0.000 0.000 0.000



| no. | energy above the most stable polymorph in this dataset (meV per atom) | total DFT energy (no corrections) (eV per atom) |
| --- | --- | --- |
| 1 | 301.3 | -6.047 |
| 2 | 717.6 | -5.630 |
| 3 | 954.8 | -5.626 |